The following is a PBE with a Hubbard U calculation of a geometry-optimized SrFe2O4 structure, from Alexandria via LeMat-Bulk.

a b c (Å): 6.592 6.460 6.461
angles (deg): 74.91 59.32 59.32
Site moments in Bohr magnetons follow the coordinates.
Positions (direct):
O (0.171, 0.241, 0.661)  0.26
O (0.582, 0.741, 0.839)  0.26
O (0.168, 0.660, 0.759)  0.26
O (0.579, 0.840, 0.259)  0.26
O (0.677, 0.160, 0.741)  0.26
O (0.073, 0.759, 0.339)  0.26
O (0.162, 0.259, 0.161)  0.26
O (0.588, 0.339, 0.241)  0.26
Fe (0.875, 0.821, 0.678)  4.30
Fe (0.304, 0.321, 0.822)  4.30
Fe (0.375, 0.179, 0.322)  4.30
Fe (0.446, 0.679, 0.178)  4.30
Sr (0.750, 0.500, 0.500)  0.02
Sr (0.000, 0.000, 0.000)  0.02

Electronic total energy: -6.48 eV/atom
Theoretical density: 4.30 g/cm3
Distance to the lowest polymorph of the same formula: 67 meV per atom